Record 1
DFT (PBEsol) results for a geometry-optimized ZrI2N structure.

Cell and atoms, written as extended XYZ:
```
4
Lattice="0.000 3.490 3.490 3.490 0.000 3.490 3.490 3.490 0.000" Properties=species:S:1:pos:R:3 pbc="T T T"
Zr 0.000 0.000 0.000
I 1.745 1.745 1.745
I 5.235 5.235 5.235
N 3.490 3.490 3.490
```

Calculated values
E (eV/f.u.): -18.516
Formation energy without anion corrections (eV per atom): 0.659
Spin magnetization (μB/f.u.): 0.999

Record 2
DFT (PBEsol) results for a geometry-optimized NaI structure.

Cell and atoms, written as extended XYZ:
```
2
Lattice="0.000 3.202 3.202 3.202 0.000 3.202 3.202 3.202 0.000" Properties=species:S:1:pos:R:3 pbc="T T T"
Na 0.000 0.000 0.000
I 3.202 3.202 3.202
```

Calculated values
E (eV/f.u.): -5.670
Formation energy without anion corrections (eV per atom): -1.252
Spin magnetization (μB/f.u.): 0.000

Record 3
DFT (PBEsol) results for a geometry-optimized NaI structure.

Cell and atoms, written as extended XYZ:
```
4
Lattice="-2.193 2.193 7.573 2.193 -2.193 7.573 2.193 2.193 -7.573" Properties=species:S:1:pos:R:3 pbc="T T T"
Na 2.193 1.096 1.893
Na 0.000 1.096 5.680
I 2.193 -1.096 5.680
I 0.000 3.289 1.893
```

Calculated values
E (eV/f.u.): -5.404
Formation energy without anion corrections (eV per atom): -1.119
Spin magnetization (μB/f.u.): 0.000

Record 4
DFT (PBEsol) results for a geometry-optimized Na2NbI structure.

Cell and atoms, written as extended XYZ:
```
4
Lattice="0.000 3.878 3.878 3.878 0.000 3.878 3.878 3.878 0.000" Properties=species:S:1:pos:R:3 pbc="T T T"
Na 1.939 1.939 1.939
Na 5.817 5.817 5.817
Nb 0.000 0.000 0.000
I 3.878 3.878 3.878
```

Calculated values
E (eV/f.u.): -11.986
Formation energy without anion corrections (eV per atom): 0.850
Spin magnetization (μB/f.u.): 5.178

Record 5
DFT (PBEsol) results for a geometry-optimized NaNbI2 structure.

Cell and atoms, written as extended XYZ:
```
8
Lattice="-2.990 2.990 8.273 2.990 -2.990 8.273 2.990 2.990 -8.273" Properties=species:S:1:pos:R:3 pbc="T T T"
Na 0.000 0.000 0.000
Na 0.000 2.990 4.137
Nb 2.990 0.000 4.137
Nb 0.000 0.000 8.273
I 1.495 -1.294 6.205
I 1.696 1.495 2.068
I 1.495 4.284 -2.068
I 1.294 1.495 10.342
```

Calculated values
E (eV/f.u.): -15.108
Formation energy without anion corrections (eV per atom): 0.162
Spin magnetization (μB/f.u.): 4.005

Record 6
DFT (PBEsol) results for a geometry-optimized NaNbSeI2 structure.

Cell and atoms, written as extended XYZ:
```
5
Lattice="5.322 0.000 0.000 0.000 5.322 0.000 0.000 0.000 5.696" Properties=species:S:1:pos:R:3 pbc="T T T"
Na 0.000 0.000 0.000
Nb 0.000 0.000 2.848
Se 2.661 2.661 2.848
I 0.000 2.661 0.000
I 2.661 0.000 0.000
```

Calculated values
E (eV/f.u.): -13.915
Formation energy without anion corrections (eV per atom): 1.138
Spin magnetization (μB/f.u.): 3.858

Record 7
DFT (PBEsol) results for a geometry-optimized NaNbSn2I structure.

Cell and atoms, written as extended XYZ:
```
5
Lattice="5.387 0.000 0.000 0.000 5.387 0.000 0.000 0.000 5.566" Properties=species:S:1:pos:R:3 pbc="T T T"
Na 0.000 0.000 0.000
Nb 2.694 2.694 2.783
Sn 0.000 2.694 2.783
Sn 2.694 0.000 2.783
I 2.694 2.694 0.000
```

Calculated values
E (eV/f.u.): -21.657
Formation energy without anion corrections (eV per atom): 0.170
Spin magnetization (μB/f.u.): 0.000

Record 8
DFT (PBEsol) results for a geometry-optimized NaNbTeI2 structure.

Cell and atoms, written as extended XYZ:
```
5
Lattice="5.408 0.000 0.000 0.000 5.408 0.000 0.000 0.000 5.566" Properties=species:S:1:pos:R:3 pbc="T T T"
Na 0.000 0.000 0.000
Nb 2.704 2.704 2.783
Te 0.000 0.000 2.783
I 0.000 2.704 0.000
I 2.704 0.000 0.000
```

Calculated values
E (eV/f.u.): -15.206
Formation energy without anion corrections (eV per atom): 0.815
Spin magnetization (μB/f.u.): 2.049

Record 9
DFT (PBEsol) results for a geometry-optimized Na3NiI structure.

Cell and atoms, written as extended XYZ:
```
5
Lattice="5.750 0.000 0.000 0.000 5.750 0.000 0.000 0.000 5.750" Properties=species:S:1:pos:R:3 pbc="T T T"
Na 0.000 0.000 2.875
Na 0.000 2.875 0.000
Na 2.875 0.000 0.000
Ni 2.875 2.875 2.875
I 0.000 0.000 0.000
```

Calculated values
E (eV/f.u.): -10.236
Formation energy without anion corrections (eV per atom): 0.378
Spin magnetization (μB/f.u.): 0.395

Record 10
DFT (PBEsol) results for a geometry-optimized NaNiIO6 structure.

Cell and atoms, written as extended XYZ:
```
9
Lattice="4.949 0.000 0.000 -2.474 4.286 0.000 0.000 0.000 5.214" Properties=species:S:1:pos:R:3 pbc="T T T"
Na 0.000 0.000 0.000
Ni 0.000 2.857 2.607
I 2.474 1.429 2.607
O -0.906 1.609 3.664
O -1.534 2.697 1.550
O 0.906 1.609 1.550
O -0.628 4.266 3.664
O 1.534 2.697 3.664
O 0.628 4.266 1.550
```

Calculated values
E (eV/f.u.): -47.700
Formation energy without anion corrections (eV per atom): -0.764
Spin magnetization (μB/f.u.): 0.001

Record 11
DFT (PBEsol) results for a geometry-optimized Na2NiSnI structure.

Cell and atoms, written as extended XYZ:
```
5
Lattice="5.427 0.000 0.000 0.000 5.427 0.000 0.000 0.000 4.736" Properties=species:S:1:pos:R:3 pbc="T T T"
Na 0.000 2.713 0.000
Na 2.713 0.000 0.000
Ni 0.000 0.000 0.000
Sn 0.000 0.000 2.368
I 2.713 2.713 2.368
```

Calculated values
E (eV/f.u.): -15.566
Formation energy without anion corrections (eV per atom): -0.117
Spin magnetization (μB/f.u.): 0.000

Record 12
DFT (PBEsol) results for a geometry-optimized NaIO3 structure.

Cell and atoms, written as extended XYZ:
```
20
Lattice="6.370 0.000 0.000 0.000 7.767 0.000 0.000 0.000 5.818" Properties=species:S:1:pos:R:3 pbc="T T T"
Na 0.000 0.000 0.000
Na 0.000 3.883 0.000
Na 3.185 0.000 2.909
Na 3.185 3.883 2.909
I 0.023 1.942 2.873
I 3.162 5.825 5.782
I 3.207 1.942 0.035
I 6.347 5.825 2.944
O 0.653 1.942 4.578
O 1.022 0.599 2.109
O 1.022 3.284 2.109
O 2.163 4.483 5.017
O 2.163 7.167 5.017
O 2.532 5.825 1.669
O 3.838 1.942 4.148
O 4.207 0.599 0.800
O 4.207 3.284 0.800
O 5.347 4.483 3.709
O 5.347 7.167 3.709
O 5.717 5.825 1.240
```

Calculated values
E (eV/f.u.): -23.497
Formation energy without anion corrections (eV per atom): -0.916
Spin magnetization (μB/f.u.): 0.000

Q: Number 6 is which compound?
A: NaNbSeI2